A plane-wave DFT calculation with PBE was carried out for a relaxed NiC2I crystal.

Structure (POSCAR):
```
NiC2I
1.0
-2.554 2.554 4.703
2.554 -2.554 4.703
2.554 2.554 -4.703
Ni C I
2 4 2
direct
0.000 0.000 0.000
0.750 0.250 0.500
0.007 0.625 0.882
0.375 0.257 0.382
0.743 0.125 0.118
0.875 0.993 0.618
0.250 0.750 0.500
0.500 0.500 0.000
```

## Properties
DOS(E_F)   1.6 states/eV/f.u.
Magnetization   0.00 μB/f.u.
ΔE to the lowest computed polymorph   0 meV/atom
Total energy   -4.71 eV per atom
Energy relative to the elements, uncorrected   1.733 eV/atom
ρ   5.67 g cm⁻³
Calculated volume   122.7 Å³/cell